Record 1
{
  "formula": "InPSe2",
  "functional": "PBE-GGA",
  "state": "optimized geometry",
  "cell": [[0.000, 3.457, 3.457], [3.457, 0.000, 3.457], [3.457, 3.457, 0.000]],
  "species": ["Se", "Se", "In", "P"],
  "fractional_positions": [[0.750, 0.750, 0.750], [0.000, 0.000, 0.000], [0.500, 0.500, 0.500], [0.250, 0.250, 0.250]],
  "crystal_system": "cubic",
  "formation_energy_uncorrected_ev_per_atom": 0.47,
  "magmom_total_mub_per_cell": 0.00,
  "sg": "No. 216"
}

Record 2
{
  "formula": "CeTiI6",
  "functional": "PBE-GGA",
  "state": "optimized geometry",
  "cell": [[7.860, -1.021, -0.948], [-3.355, 7.181, -0.948], [0.897, 1.227, 7.117]],
  "species": ["Ti", "I", "I", "I", "I", "I", "I", "Ce"],
  "fractional_positions": [[0.000, 0.000, 0.500], [0.997, 0.704, 0.715], [0.701, 0.701, 0.267], [0.704, 0.997, 0.715], [0.003, 0.296, 0.285], [0.296, 0.003, 0.285], [0.299, 0.299, 0.733], [0.000, 0.000, 0.000]],
  "crystal_system": "monoclinic",
  "formation_energy_uncorrected_ev_per_atom": -1.05,
  "magmom_total_mub_per_cell": 2.00,
  "sg": "No. 12"
}

Record 3
{
  "formula": "KCaTe2Cl",
  "functional": "PBE-GGA",
  "state": "optimized geometry",
  "cell": [[-3.721, -3.858, 2.200], [2.838, -4.853, -3.710], [3.710, -1.123, 4.307]],
  "species": ["Te", "Te", "Cl", "K", "Ca"],
  "fractional_positions": [[0.500, 0.000, 0.000], [0.000, 0.000, 0.500], [0.500, 0.500, 0.500], [0.000, 0.000, 0.000], [0.000, 0.500, 0.000]],
  "crystal_system": "tetragonal",
  "formation_energy_uncorrected_ev_per_atom": 0.16,
  "magmom_total_mub_per_cell": 0.00,
  "sg": "No. 123"
}

Record 4
{
  "formula": "LaCrIn3",
  "functional": "PBE-GGA",
  "state": "optimized geometry",
  "cell": [[-5.650, 0.675, -1.930], [-1.138, -5.750, 1.321], [-1.699, 1.607, 5.535]],
  "species": ["In", "In", "In", "Cr", "La"],
  "fractional_positions": [[0.500, 0.000, 0.000], [0.000, 0.000, 0.500], [0.000, 0.500, 0.000], [0.500, 0.500, 0.500], [0.000, 0.000, 0.000]],
  "crystal_system": "cubic",
  "delta_e_f_ev_per_fu": 5.76,
  "magmom_total_mub_per_cell": 4.30,
  "sg": "No. 221"
}

Record 5
{
  "formula": "Pr2MgAl12Pt3",
  "functional": "PBE-GGA",
  "state": "optimized geometry",
  "cell": [[-5.268, -4.524, -3.761], [-0.971, -6.842, 3.822], [-6.874, -0.024, 3.888]],
  "species": ["Pt", "Pt", "Pt", "Mg", "Al", "Al", "Al", "Al", "Al", "Al", "Al", "Al", "Al", "Al", "Al", "Al", "Pr", "Pr"],
  "fractional_positions": [[0.000, 0.000, 0.500], [0.500, 0.000, 0.000], [0.000, 0.500, 0.000], [0.000, 0.000, 0.000], [0.729, 0.146, 0.729], [0.375, 0.857, 0.857], [0.625, 0.143, 0.143], [0.857, 0.375, 0.857], [0.857, 0.857, 0.375], [0.729, 0.729, 0.146], [0.146, 0.729, 0.729], [0.271, 0.271, 0.854], [0.143, 0.143, 0.625], [0.143, 0.625, 0.143], [0.271, 0.854, 0.271], [0.854, 0.271, 0.271], [0.593, 0.593, 0.593], [0.407, 0.407, 0.407]],
  "crystal_system": "trigonal",
  "delta_e_f_ev_per_fu": -2.59,
  "magmom_total_mub_per_cell": 0.00,
  "sg": "No. 166"
}

Record 6
{
  "formula": "Li3BeMo",
  "functional": "PBE-GGA",
  "state": "optimized geometry",
  "cell": [[4.067, 0.000, 0.000], [0.000, 4.067, 0.000], [0.000, 0.000, 4.067]],
  "species": ["Li", "Li", "Li", "Be", "Mo"],
  "fractional_positions": [[0.500, 0.000, 0.000], [0.000, 0.000, 0.500], [0.000, 0.500, 0.000], [0.000, 0.000, 0.000], [0.500, 0.500, 0.500]],
  "crystal_system": "cubic",
  "delta_e_f_ev_per_fu": 5.43,
  "magmom_total_mub_per_cell": 0.00,
  "sg": "No. 221"
}

Record 7
{
  "formula": "ScBeIr",
  "functional": "PBE-GGA",
  "state": "optimized geometry",
  "cell": [[-4.003, -0.849, -3.115], [-4.372, -2.626, -0.660], [-2.284, 1.789, 0.952]],
  "species": ["Ir", "Be", "Sc"],
  "fractional_positions": [[0.363, 0.364, 0.637], [0.969, 0.968, 0.031], [0.668, 0.668, 0.332]],
  "crystal_system": "tetragonal",
  "delta_e_f_ev_per_fu": -1.89,
  "magmom_total_mub_per_cell": 0.00,
  "sg": "No. 107"
}

Record 8
{
  "formula": "TbSi4B18C",
  "functional": "PBE-GGA",
  "state": "optimized geometry",
  "cell": [[-3.401, -7.152, 0.505], [-0.180, -2.235, -7.612], [6.289, -4.779, -0.399]],
  "species": ["B", "B", "B", "B", "B", "B", "B", "B", "B", "B", "B", "B", "B", "B", "B", "B", "B", "B", "B", "B", "B", "B", "B", "B", "B", "B", "B", "B", "B", "B", "B", "B", "B", "B", "B", "B", "Si", "Si", "Si", "Si", "Si", "Si", "Si", "Si", "Tb", "Tb", "C", "C"],
  "fractional_positions": [[0.877, 0.439, 0.875], [0.013, 0.272, 0.012], [0.981, 0.802, 0.628], [0.272, 0.013, 0.012], [0.823, 0.414, 0.105], [0.019, 0.198, 0.372], [0.020, 0.372, 0.198], [0.980, 0.628, 0.802], [0.177, 0.586, 0.895], [0.198, 0.019, 0.372], [0.202, 0.372, 0.022], [0.012, 0.012, 0.270], [0.988, 0.988, 0.730], [0.628, 0.980, 0.802], [0.372, 0.202, 0.022], [0.108, 0.415, 0.827], [0.561, 0.123, 0.125], [0.892, 0.585, 0.173], [0.798, 0.628, 0.978], [0.628, 0.798, 0.978], [0.586, 0.177, 0.895], [0.414, 0.823, 0.105], [0.439, 0.877, 0.875], [0.124, 0.124, 0.563], [0.987, 0.728, 0.988], [0.728, 0.987, 0.988], [0.876, 0.876, 0.437], [0.822, 0.109, 0.413], [0.178, 0.891, 0.587], [0.123, 0.561, 0.125], [0.109, 0.822, 0.413], [0.415, 0.108, 0.827], [0.372, 0.020, 0.198], [0.891, 0.178, 0.587], [0.802, 0.981, 0.628], [0.585, 0.892, 0.173], [0.268, 0.655, 0.255], [0.429, 0.429, 0.428], [0.655, 0.268, 0.255], [0.571, 0.571, 0.572], [0.264, 0.264, 0.662], [0.732, 0.345, 0.745], [0.345, 0.732, 0.745], [0.736, 0.736, 0.338], [0.500, 0.000, 0.500], [0.000, 0.500, 0.500], [0.052, 0.052, 0.051], [0.948, 0.948, 0.949]],
  "crystal_system": "monoclinic",
  "formation_energy_uncorrected_ev_per_atom": -0.21,
  "magmom_total_mub_per_cell": 0.00,
  "sg": "No. 12"
}

Record 9
{
  "formula": "PmHo9Sc2",
  "functional": "PBE-GGA",
  "state": "optimized geometry",
  "cell": [[-0.415, 1.892, -4.549], [3.843, -2.732, -1.487], [-9.228, -10.956, -3.717]],
  "species": ["Ho", "Ho", "Ho", "Ho", "Ho", "Ho", "Ho", "Ho", "Ho", "Sc", "Sc", "Pm"],
  "fractional_positions": [[0.500, 0.500, 0.000], [0.500, 0.000, 0.500], [0.500, 0.500, 0.663], [0.000, 0.500, 0.827], [0.000, 0.500, 0.173], [0.000, 0.500, 0.500], [0.500, 0.000, 0.827], [0.500, 0.000, 0.173], [0.500, 0.500, 0.337], [0.000, 0.000, 0.664], [0.000, 0.000, 0.336], [0.000, 0.000, 0.000]],
  "crystal_system": "tetragonal",
  "delta_e_f_ev_per_fu": 0.46,
  "magmom_total_mub_per_cell": 0.00,
  "sg": "No. 123"
}

Record 10
{
  "formula": "LiLa2Cl",
  "functional": "PBE-GGA",
  "state": "optimized geometry",
  "cell": [[-2.806, -2.381, 0.213], [4.172, -4.916, -0.004], [0.220, 0.183, 4.932]],
  "species": ["La", "La", "Cl", "Li"],
  "fractional_positions": [[0.000, 0.000, 0.000], [0.500, 0.500, 0.000], [0.000, 0.500, 0.500], [0.500, 0.000, 0.500]],
  "crystal_system": "orthorhombic",
  "formation_energy_uncorrected_ev_per_atom": -0.37,
  "magmom_total_mub_per_cell": 0.02,
  "sg": "No. 47"
}

Record 11
{
  "formula": "Ce3PuGe",
  "functional": "PBE-GGA",
  "state": "optimized geometry",
  "cell": [[3.945, 0.000, 0.000], [0.002, 7.363, 1.341], [-0.001, 0.375, 8.663]],
  "species": ["Ce", "Ce", "Ce", "Ce", "Ce", "Ce", "Pu", "Pu", "Ge", "Ge"],
  "fractional_positions": [[0.184, 0.136, 0.155], [0.183, 0.339, 0.467], [0.184, 0.756, 0.611], [0.684, 0.104, 0.796], [0.684, 0.724, 0.251], [0.683, 0.521, 0.939], [0.684, 0.548, 0.541], [0.184, 0.313, 0.866], [0.682, 0.038, 0.434], [0.182, 0.822, 0.973]],
  "crystal_system": "monoclinic",
  "delta_e_f_ev_per_fu": -1.09,
  "magmom_total_mub_per_cell": 9.37,
  "sg": "No. 4"
}

Record 12
{
  "formula": "ErTiSi",
  "functional": "PBE-GGA",
  "state": "optimized geometry",
  "cell": [[4.013, 0.000, 0.000], [0.000, 4.013, 0.000], [0.000, 0.000, 7.497]],
  "species": ["Ti", "Ti", "Si", "Si", "Er", "Er"],
  "fractional_positions": [[0.000, 0.000, 0.000], [0.500, 0.500, 0.000], [0.500, 0.000, 0.241], [0.000, 0.500, 0.759], [0.500, 0.000, 0.656], [0.000, 0.500, 0.344]],
  "crystal_system": "tetragonal",
  "formation_energy_uncorrected_ev_per_atom": -0.66,
  "magmom_total_mub_per_cell": 0.02,
  "sg": "No. 129"
}

Record 13
{
  "formula": "ErMgAgHg",
  "functional": "PBE-GGA",
  "state": "optimized geometry",
  "cell": [[-1.135, 0.593, 4.806], [-3.911, -2.380, 1.944], [0.705, -3.741, 3.201]],
  "species": ["Mg", "Ag", "Er", "Hg"],
  "fractional_positions": [[0.500, 0.500, 0.500], [0.750, 0.750, 0.750], [0.000, 0.000, 0.000], [0.250, 0.250, 0.250]],
  "crystal_system": "cubic",
  "delta_e_f_ev_per_fu": -1.56,
  "magmom_total_mub_per_cell": 0.00,
  "sg": "No. 216"
}

Record 14
{
  "formula": "Sm3AlFe8",
  "functional": "PBE-GGA",
  "state": "optimized geometry",
  "cell": [[4.877, 0.000, 1.472], [2.216, 4.345, 1.472], [-0.004, -0.003, 8.829]],
  "species": ["Fe", "Fe", "Fe", "Fe", "Fe", "Fe", "Fe", "Fe", "Sm", "Sm", "Sm", "Al"],
  "fractional_positions": [[0.933, 0.435, 0.197], [0.446, 0.939, 0.677], [0.435, 0.435, 0.197], [0.688, 0.688, 0.936], [0.188, 0.188, 0.437], [0.939, 0.939, 0.677], [0.939, 0.446, 0.677], [0.435, 0.933, 0.197], [0.503, 0.503, 0.492], [0.996, 0.996, 0.011], [0.376, 0.376, 0.873], [0.873, 0.873, 0.381]],
  "crystal_system": "trigonal",
  "delta_e_f_ev_per_fu": -0.22,
  "magmom_total_mub_per_cell": 14.53,
  "sg": "No. 160"
}

Record 15
{
  "formula": "SiHgMo2",
  "functional": "PBE-GGA",
  "state": "optimized geometry",
  "cell": [[4.933, 0.000, 0.000], [1.673, 4.641, 0.000], [-3.303, -2.320, 2.836]],
  "species": ["Si", "Hg", "Mo", "Mo"],
  "fractional_positions": [[0.500, 0.500, 0.000], [0.750, 0.250, 0.500], [0.000, 0.000, 0.000], [0.250, 0.750, 0.500]],
  "crystal_system": "tetragonal",
  "formation_energy_uncorrected_ev_per_atom": 0.45,
  "magmom_total_mub_per_cell": 0.00,
  "sg": "No. 119"
}

Record 16
{
  "formula": "ZrMoP",
  "functional": "PBE-GGA",
  "state": "optimized geometry",
  "cell": [[3.494, 0.000, 0.000], [0.000, 6.874, 0.000], [0.000, 0.000, 12.286]],
  "species": ["Zr", "Zr", "Zr", "Zr", "Zr", "Zr", "P", "P", "P", "P", "P", "P", "Mo", "Mo", "Mo", "Mo", "Mo", "Mo"],
  "fractional_positions": [[0.000, 0.828, 0.750], [0.000, 0.767, 0.047], [0.000, 0.767, 0.453], [0.000, 0.233, 0.547], [0.000, 0.233, 0.953], [0.000, 0.172, 0.250], [0.500, 0.072, 0.100], [0.500, 0.928, 0.600], [0.500, 0.072, 0.400], [0.500, 0.928, 0.900], [0.000, 0.564, 0.250], [0.000, 0.436, 0.750], [0.500, 0.816, 0.250], [0.500, 0.184, 0.750], [0.500, 0.440, 0.123], [0.500, 0.440, 0.377], [0.500, 0.560, 0.623], [0.500, 0.560, 0.877]],
  "crystal_system": "orthorhombic",
  "delta_e_f_ev_per_fu": -2.57,
  "magmom_total_mub_per_cell": 0.00,
  "sg": "No. 51"
}

Record 17
{
  "formula": "BaOs3Pb",
  "functional": "PBE-GGA",
  "state": "optimized geometry",
  "cell": [[5.121, 0.000, 0.000], [0.000, 5.121, 0.000], [0.000, 0.000, 5.121]],
  "species": ["Os", "Os", "Os", "Pb", "Ba"],
  "fractional_positions": [[0.000, 0.000, 0.500], [0.500, 0.000, 0.000], [0.000, 0.500, 0.000], [0.000, 0.000, 0.000], [0.500, 0.500, 0.500]],
  "crystal_system": "cubic",
  "delta_e_f_ev_per_fu": 11.36,
  "magmom_total_mub_per_cell": 3.79,
  "sg": "No. 221"
}

Record 18
{
  "formula": "SmThCdIn",
  "functional": "PBE-GGA",
  "state": "optimized geometry",
  "cell": [[5.436, 0.000, 0.000], [2.718, 4.708, 0.000], [2.718, 1.569, 4.438]],
  "species": ["Sm", "Cd", "Th", "In"],
  "fractional_positions": [[0.000, 0.000, 0.000], [0.750, 0.750, 0.750], [0.500, 0.500, 0.500], [0.250, 0.250, 0.250]],
  "crystal_system": "cubic",
  "delta_e_f_ev_per_fu": -1.10,
  "magmom_total_mub_per_cell": 0.00,
  "sg": "No. 216"
}

Record 19
{
  "formula": "ZrOsPbO6",
  "functional": "PBE-GGA",
  "state": "optimized geometry",
  "cell": [[7.543, 0.000, 0.000], [0.000, 7.266, 0.000], [-3.771, -3.633, 5.479]],
  "species": ["Os", "Os", "O", "O", "O", "O", "O", "O", "O", "O", "O", "O", "O", "O", "Zr", "Zr", "Pb", "Pb"],
  "fractional_positions": [[0.500, 0.500, 0.000], [0.500, 0.000, 0.000], [0.199, 0.936, 0.769], [0.431, 0.064, 0.231], [0.801, 0.667, 0.231], [0.199, 0.333, 0.769], [0.431, 0.667, 0.231], [0.171, 0.921, 0.342], [0.801, 0.064, 0.231], [0.569, 0.936, 0.769], [0.829, 0.079, 0.658], [0.569, 0.333, 0.769], [0.548, 0.298, 0.096], [0.452, 0.702, 0.904], [0.500, 0.000, 0.500], [0.000, 0.000, 0.500], [0.030, 0.280, 0.060], [0.970, 0.720, 0.940]],
  "crystal_system": "orthorhombic",
  "formation_energy_uncorrected_ev_per_atom": -1.62,
  "magmom_total_mub_per_cell": 3.50,
  "sg": "No. 74"
}

Record 20
{
  "formula": "K3Ce2PaSe6",
  "functional": "PBE-GGA",
  "state": "optimized geometry",
  "cell": [[7.462, -0.001, 0.000], [-3.730, 6.463, 0.000], [-1.245, -2.156, 7.735]],
  "species": ["K", "K", "K", "Se", "Se", "Se", "Se", "Se", "Se", "Ce", "Ce", "Pa"],
  "fractional_positions": [[0.500, 0.500, 0.500], [0.169, 0.831, 0.500], [0.831, 0.169, 0.500], [0.930, 0.606, 0.789], [0.747, 0.747, 0.211], [0.606, 0.930, 0.789], [0.070, 0.394, 0.211], [0.394, 0.070, 0.211], [0.253, 0.253, 0.789], [0.334, 0.666, 0.000], [0.666, 0.334, 0.000], [0.000, 0.000, 0.000]],
  "crystal_system": "monoclinic",
  "formation_energy_uncorrected_ev_per_atom": -1.56,
  "magmom_total_mub_per_cell": 4.03,
  "sg": "No. 12"
}